No. 1
{
  "formula": "Li3ScPb",
  "functional": "meta-GGA SCAN",
  "state": "PBEsol geometry",
  "cell": [[4.925, 0.000, 0.000], [0.000, 4.925, 0.000], [0.000, 0.000, 4.925]],
  "species": ["Li", "Li", "Li", "Sc", "Pb"],
  "frac_coords": [[0.000, 0.000, 0.500], [0.000, 0.500, 0.000], [0.500, 0.000, 0.000], [0.500, 0.500, 0.500], [0.000, 0.000, 0.000]],
  "e_tot_ev_per_atom": -19.256,
  "formation_energy_ev_per_atom": 0.18
}

No. 2
{
  "formula": "LiCa2Hg2",
  "functional": "meta-GGA SCAN",
  "state": "PBEsol geometry",
  "cell": [[7.805, 0.000, 0.000], [0.000, 7.805, 0.000], [0.000, 0.000, 4.370]],
  "species": ["Li", "Li", "Ca", "Ca", "Ca", "Ca", "Hg", "Hg", "Hg", "Hg"],
  "frac_coords": [[0.000, 0.000, 0.000], [0.500, 0.500, 0.000], [0.165, 0.335, 0.500], [0.335, 0.835, 0.500], [0.665, 0.165, 0.500], [0.835, 0.665, 0.500], [0.138, 0.638, 0.000], [0.362, 0.138, 0.000], [0.638, 0.862, 0.000], [0.862, 0.362, 0.000]],
  "e_tot_ev_per_atom": -32.176,
  "formation_energy_ev_per_atom": -0.57
}

No. 3
{
  "formula": "TiZnFeAu2",
  "functional": "meta-GGA SCAN",
  "state": "PBEsol geometry",
  "cell": [[4.904, 0.000, 0.000], [0.000, 4.904, 0.000], [0.000, 0.000, 4.075]],
  "species": ["Ti", "Zn", "Fe", "Au", "Au"],
  "frac_coords": [[0.000, 0.000, 0.000], [0.500, 0.500, 0.500], [0.000, 0.000, 0.500], [0.000, 0.500, 0.000], [0.500, 0.000, 0.000]],
  "e_tot_ev_per_atom": -36.298,
  "formation_energy_ev_per_atom": 0.90
}